No. 1
Material: AuBrCl2O
Method: DFT, GGA-PBE
State: relaxed

extended XYZ file:
```
5
Lattice="5.465 0.000 0.000 0.000 3.711 0.000 0.000 0.000 5.465" Properties=species:S:1:pos:R:3 pbc="T T T"
Au 2.732 1.855 2.732
O 0.000 1.855 0.000
Br 0.000 0.000 0.000
Cl 0.000 0.000 2.732
Cl 2.732 0.000 0.000
```

Calculated values
The value obtained for the mass density is 5.45 Mg/m³. For the total energy, the calculation gives -2.114 eV/atom. For the magnetic moment, the calculation gives 0.00 μB/atom.

No. 2
Material: OsAu2BrCl
Method: DFT, GGA-PBE
State: relaxed

extended XYZ file:
```
5
Lattice="-1.245 -3.949 2.997 4.431 -2.170 -1.017 2.088 2.385 4.010" Properties=species:S:1:pos:R:3 pbc="T T T"
Os 2.637 -1.867 2.995
Au 1.044 1.193 2.005
Au -0.623 -1.974 1.499
Br 0.000 0.000 0.000
Cl 2.215 -1.085 -0.509
```

Calculated values
The value obtained for the mass density is 8.83 Mg/m³. For the total energy, the calculation gives -2.443 eV/atom. For the magnetic moment, the calculation gives 0.74 μB/atom.

No. 3
Material: PbAuBrCl2
Method: DFT, GGA-PBE
State: relaxed

extended XYZ file:
```
5
Lattice="5.314 0.000 0.000 0.000 5.803 0.000 0.000 0.000 5.314" Properties=species:S:1:pos:R:3 pbc="T T T"
Pb 0.000 0.000 0.000
Au 0.000 2.901 0.000
Br 2.657 2.901 2.657
Cl 0.000 0.000 2.657
Cl 2.657 0.000 0.000
```

Calculated values
The value obtained for the mass density is 5.62 Mg/m³. For the total energy, the calculation gives -2.494 eV/atom. For the magnetic moment, the calculation gives 0.00 μB/atom.

No. 4
Material: RbAuBrCl2
Method: DFT, GGA-PBE
State: relaxed

extended XYZ file:
```
5
Lattice="5.184 0.000 0.000 0.000 5.184 0.000 0.000 0.000 5.398" Properties=species:S:1:pos:R:3 pbc="T T T"
Au 0.000 0.000 0.000
Br 0.000 0.000 2.699
Rb 2.592 2.592 2.699
Cl 0.000 2.592 0.000
Cl 2.592 0.000 0.000
```

Calculated values
The value obtained for the mass density is 4.96 Mg/m³. For the total energy, the calculation gives -2.816 eV/atom. For the magnetic moment, the calculation gives 0.00 μB/atom.

No. 5
Material: RbAuBr2Cl
Method: DFT, GGA-PBE
State: relaxed

extended XYZ file:
```
5
Lattice="-3.476 3.634 -2.043 -3.643 -3.941 -0.813 -1.934 0.812 4.734" Properties=species:S:1:pos:R:3 pbc="T T T"
Au 0.000 0.000 0.000
Br -1.822 -1.971 -0.407
Br -1.738 1.817 -1.022
Rb -4.527 0.252 0.939
Cl -0.967 0.406 2.367
```

Calculated values
The value obtained for the mass density is 5.20 Mg/m³. For the total energy, the calculation gives -2.729 eV/atom. For the magnetic moment, the calculation gives 0.00 μB/atom.

No. 6
Material: Rb4AuBr2Cl
Method: DFT, GGA-PBE
State: relaxed

extended XYZ file:
```
8
Lattice="-1.515 4.665 0.174 -7.712 -2.599 2.549 -0.177 -0.376 8.544" Properties=species:S:1:pos:R:3 pbc="T T T"
Rb -5.870 -2.219 8.382
Rb -3.534 3.908 2.886
Rb -6.580 0.293 4.074
Rb -2.824 1.397 7.193
Au -3.945 -1.488 5.547
Br -0.177 -0.376 8.544
Br -0.846 2.145 4.359
Cl -4.614 1.033 1.362
```

Calculated values
The value obtained for the mass density is 3.61 Mg/m³. For the total energy, the calculation gives -2.962 eV/atom. For the magnetic moment, the calculation gives 0.00 μB/atom.

No. 7
Material: Rb8Au4BrCl3
Method: DFT, GGA-PBE
State: relaxed

extended XYZ file:
```
16
Lattice="9.763 0.000 0.000 0.000 9.883 0.076 -4.881 -4.878 6.908" Properties=species:S:1:pos:R:3 pbc="T T T"
Rb -2.401 2.462 6.885
Rb 0.000 4.852 3.492
Rb 0.000 0.138 3.555
Rb 2.401 2.462 6.885
Rb 2.481 2.543 0.099
Rb 4.881 4.867 3.429
Rb 4.881 0.153 3.492
Rb 7.282 2.543 0.099
Au 4.881 0.000 0.000
Au 2.441 -2.439 3.454
Au 0.000 0.000 0.000
Au -2.441 -2.439 3.454
Br 0.000 4.941 0.038
Cl 4.881 4.941 0.038
Cl 2.441 2.502 3.492
Cl -2.441 2.502 3.492
```

Calculated values
The value obtained for the mass density is 4.11 Mg/m³. For the total energy, the calculation gives -2.830 eV/atom. For the magnetic moment, the calculation gives 0.00 μB/atom.

No. 8
Material: Rb6Au3Br2Cl
Method: DFT, GGA-PBE
State: relaxed

extended XYZ file:
```
12
Lattice="8.544 0.000 0.001 -4.269 7.401 0.001 -1.425 -2.468 8.177" Properties=species:S:1:pos:R:3 pbc="T T T"
Rb 4.238 2.527 6.214
Rb 2.885 4.995 1.977
Rb -1.389 2.406 1.964
Rb 0.071 4.933 6.214
Rb -0.036 -0.062 6.201
Rb 2.778 0.000 1.964
Au -2.813 4.914 4.089
Au 5.662 0.019 4.089
Au 1.424 2.466 4.089
Br 0.007 4.931 0.001
Br 4.268 2.470 0.001
Cl 0.000 0.000 0.000
```

Calculated values
The value obtained for the mass density is 4.17 Mg/m³. For the total energy, the calculation gives -2.769 eV/atom. For the magnetic moment, the calculation gives 0.00 μB/atom.

Q: What is the formula in the second record?
A: OsAu2BrCl

Q: Which value of mass density does entry 6 give?
A: 3.61 Mg/m³

Q: Which of these has the lowest total energy?
A: Rb4AuBr2Cl